Entry 1:
PBE-GGA SrScCl2, optimized geometry; V = 23.9 Å³/atom; symmetry = Fm-3m; total magnetization = 0.398 μB/atom; energy above the most stable polymorph in this dataset = 0.426 eV per atom; ρ = 3.54 g/cm3; energy relative to the elements, uncorrected = -0.949 eV per atom; raw total energy = -0.142 hartree per atom
1.0
0.000 3.628 3.628
3.628 0.000 3.628
3.628 3.628 0.000
Sr Sc Cl
1 1 2
Cartesian
0.000 0.000 0.000
3.628 3.628 3.628
1.814 1.814 1.814
5.442 5.442 5.442

---

Entry 2:
PBE-GGA TbY3Pd2, optimized geometry; V = 26.5 Å³/atom; symmetry = Pmc2_1; total magnetization = 0.079 μB/atom; energy above the most stable polymorph in this dataset = 0.000 eV per atom; ρ = 6.67 g/cm3; energy relative to the elements = -0.588 eV/atom; raw total energy = -0.232 hartree per atom
1.0
3.769 0.000 0.000
0.000 9.834 0.000
0.000 0.000 8.578
Tb Y Pd
2 6 4
Cartesian
0.000 0.630 0.000
0.000 9.204 4.289
0.000 2.789 5.673
0.000 7.045 1.384
1.885 2.138 2.753
1.885 4.278 8.427
1.885 5.556 4.138
1.885 7.696 7.041
0.000 4.227 2.196
0.000 5.607 6.484
1.885 0.687 6.235
1.885 9.147 1.946

---

Entry 3:
PBE-GGA KCu2N4, optimized geometry; V = 17.1 Å³/atom; symmetry = P-1; total magnetization = 0.000 μB/atom; ρ = 3.09 g/cm3; energy relative to the elements, uncorrected = 0.195 eV per atom; raw total energy = -0.216 hartree per atom
1.0
4.545 0.000 0.000
0.136 4.658 0.000
2.262 0.484 5.638
K Cu N
1 2 4
Cartesian
0.000 0.000 0.000
2.334 2.559 2.252
4.609 2.583 3.386
2.283 0.825 1.727
2.395 4.298 1.740
4.548 0.844 3.898
4.660 4.317 3.911

---

Entry 4:
PBE-GGA ErTmPt2, optimized geometry; V = 20.7 Å³/atom; symmetry = Fm-3m; total magnetization = 0.000 μB/atom; energy above the most stable polymorph in this dataset = 0.039 eV per atom; ρ = 14.59 g/cm3; energy relative to the elements = -1.278 eV/atom; raw total energy = -0.241 hartree per atom
1.0
0.000 3.457 3.457
3.457 0.000 3.457
3.457 3.457 0.000
Er Tm Pt
1 1 2
Cartesian
0.000 0.000 0.000
3.457 3.457 3.457
1.729 1.729 1.729
5.186 5.186 5.186

---

Entry 5:
PBE-GGA Nd2CoCuC, optimized geometry; V = 19.5 Å³/atom; symmetry = P4/mmm; total magnetization = 0.000 μB/atom; ρ = 7.22 g/cm3; energy relative to the elements = -0.195 eV/atom; raw total energy = -0.227 hartree per atom
1.0
5.185 0.000 0.000
0.000 5.185 0.000
0.000 0.000 3.621
Nd Co Cu C
2 1 1 1
Cartesian
0.000 2.592 0.000
2.592 0.000 0.000
0.000 0.000 1.810
2.592 2.592 1.810
0.000 0.000 0.000

---

Entry 6:
PBE-GGA HfTaNbRe, optimized geometry; V = 17.8 Å³/atom; symmetry = F-43m; total magnetization = 0.000 μB/atom; ρ = 14.91 g/cm3; energy relative to the elements = -0.162 eV/atom; raw total energy = -0.413 hartree per atom
1.0
0.000 3.288 3.288
3.288 0.000 3.288
3.288 3.288 0.000
Hf Ta Nb Re
1 1 1 1
Cartesian
0.000 0.000 0.000
3.288 3.288 3.288
4.932 4.932 4.932
1.644 1.644 1.644

---

Entry 7:
PBE-GGA BaTaZn, optimized geometry; V = 33.4 Å³/atom; symmetry = F-43m; total magnetization = 0.757 μB/atom; energy above the most stable polymorph in this dataset = 1.285 eV per atom; ρ = 6.36 g/cm3; energy relative to the elements = 1.861 eV/atom; raw total energy = -0.116 hartree per atom
1.0
0.000 3.686 3.686
3.686 0.000 3.686
3.686 3.686 0.000
Ba Ta Zn
1 1 1
Cartesian
0.000 0.000 0.000
1.843 1.843 1.843
5.529 5.529 5.529

---

Entry 8:
PBE-GGA Na2LiAc, optimized geometry; V = 34.9 Å³/atom; symmetry = P4/mmm; total magnetization = 0.000 μB/atom; energy above the most stable polymorph in this dataset = 0.025 eV per atom; ρ = 3.33 g/cm3; energy relative to the elements = 0.162 eV/atom; raw total energy = -0.074 hartree per atom
1.0
3.810 0.000 0.000
0.000 3.810 0.000
0.000 0.000 9.615
Na Li Ac
2 1 1
Cartesian
0.000 0.000 1.945
0.000 0.000 7.670
1.905 1.905 0.000
1.905 1.905 4.807